Ca6In2Au PBE relaxed; ΔH_f (0 K) = -0.451 eV per atom; density = 3.928 g cm⁻³; crystal system = tetragonal; VASP energy = -24.8 eV/f.u.; size of the total moment = 0.00 μB per cell; DOS at the Fermi energy = 8.46 states/eV/cell
1.0
5.375 0.000 0.231
0.000 10.239 0.000
-0.439 0.000 10.229
In Ca Au
4 12 2
direct
0.000 0.287 0.787
0.500 0.213 0.287
0.500 0.787 0.713
0.000 0.713 0.213
0.500 0.465 0.699
0.500 0.801 0.035
0.000 0.617 0.883
0.000 0.965 0.801
0.500 0.535 0.301
0.000 0.301 0.465
0.000 0.035 0.199
0.500 0.883 0.383
0.000 0.383 0.117
0.000 0.699 0.535
0.500 0.199 0.965
0.500 0.117 0.617
0.500 0.500 0.000
0.000 0.000 0.500

---

Ca3In3Au2 PBE relaxed; ΔH_f (0 K) = -0.570 eV per atom; density = 6.776 g cm⁻³; crystal system = orthorhombic; VASP energy = -25.3 eV/f.u.; size of the total moment = 0.00 μB per cell; DOS at the Fermi energy = 15.78 states/eV/cell
1.0
5.926 0.000 0.000
0.000 7.794 0.000
0.000 0.000 18.223
Au In Ca
8 12 12
direct
0.606 0.608 0.375
0.106 0.892 0.625
0.106 0.892 0.875
0.394 0.392 0.625
0.394 0.392 0.875
0.894 0.108 0.125
0.894 0.108 0.375
0.606 0.608 0.125
0.881 0.816 0.029
0.619 0.316 0.471
0.827 0.829 0.750
0.173 0.171 0.250
0.673 0.329 0.750
0.119 0.184 0.971
0.119 0.184 0.529
0.881 0.816 0.471
0.381 0.684 0.529
0.619 0.316 0.029
0.381 0.684 0.971
0.327 0.671 0.250
0.617 0.036 0.610
0.166 0.165 0.750
0.883 0.536 0.610
0.117 0.464 0.110
0.834 0.835 0.250
0.666 0.335 0.250
0.334 0.665 0.750
0.383 0.964 0.390
0.883 0.536 0.890
0.117 0.464 0.390
0.383 0.964 0.110
0.617 0.036 0.890

---

Ca2InAu7 PBE relaxed; ΔH_f (0 K) = -0.463 eV per atom; density = 11.714 g cm⁻³; crystal system = tetragonal; VASP energy = -34.3 eV/f.u.; size of the total moment = 0.00 μB per cell; DOS at the Fermi energy = 3.67 states/eV/cell
1.0
4.043 0.000 0.000
0.000 4.043 0.000
0.000 0.000 13.650
In Au Ca
1 7 2
direct
0.500 0.500 0.000
0.000 0.000 0.500
0.500 0.000 0.153
0.000 0.500 0.847
0.000 0.500 0.649
0.500 0.500 0.500
0.500 0.000 0.351
0.000 0.000 0.000
0.500 0.000 0.738
0.000 0.500 0.262

---

CaInAu6 PBE relaxed; ΔH_f (0 K) = -0.280 eV per atom; density = 13.786 g cm⁻³; crystal system = cubic; VASP energy = -26.6 eV/f.u.; size of the total moment = 0.00 μB per cell; DOS at the Fermi energy = 3.72 states/eV/cell
1.0
5.440 0.000 0.000
0.000 5.440 0.000
0.000 0.000 5.440
Au Ca In
6 1 1
direct
0.500 0.249 0.000
0.249 0.000 0.500
0.500 0.751 0.000
0.000 0.500 0.249
0.751 0.000 0.500
0.000 0.500 0.751
0.500 0.500 0.500
0.000 0.000 0.000

---

CaInAu PBE relaxed; ΔH_f (0 K) = -0.671 eV per atom; density = 7.931 g cm⁻³; crystal system = orthorhombic; VASP energy = -10.0 eV/f.u.; size of the total moment = 0.00 μB per cell; DOS at the Fermi energy = 5.11 states/eV/cell
1.0
-4.276 -0.383 1.438
1.889 -6.010 4.019
1.828 5.123 6.803
Au Ca In
4 4 4
direct
0.250 0.766 0.873
0.750 0.234 0.127
0.250 0.266 0.627
0.750 0.734 0.373
0.250 0.028 0.318
0.750 0.972 0.682
0.250 0.528 0.182
0.750 0.472 0.818
0.750 0.344 0.440
0.750 0.844 0.060
0.250 0.156 0.940
0.250 0.656 0.560

---

CaIn2Au2 PBE relaxed; ΔH_f (0 K) = -0.382 eV per atom; density = 9.231 g cm⁻³; crystal system = tetragonal; VASP energy = -15.9 eV/f.u.; size of the total moment = 0.00 μB per cell; DOS at the Fermi energy = 4.71 states/eV/cell
1.0
7.802 0.000 0.000
0.000 7.802 0.000
0.000 0.000 3.922
Ca Au In
2 4 4
direct
0.000 0.000 0.000
0.500 0.500 0.000
0.633 0.133 0.000
0.133 0.367 0.000
0.367 0.867 0.000
0.867 0.633 0.000
0.168 0.668 0.500
0.332 0.168 0.500
0.832 0.332 0.500
0.668 0.832 0.500

---

> The lowest DOS at the Fermi energy belongs to which entry?

Ca2InAu7

---

Copy entry 2 word for word.
Ca3In3Au2 PBE relaxed; ΔH_f (0 K) = -0.570 eV per atom; density = 6.776 g cm⁻³; crystal system = orthorhombic; VASP energy = -25.3 eV/f.u.; size of the total moment = 0.00 μB per cell; DOS at the Fermi energy = 15.78 states/eV/cell
1.0
5.926 0.000 0.000
0.000 7.794 0.000
0.000 0.000 18.223
Au In Ca
8 12 12
direct
0.606 0.608 0.375
0.106 0.892 0.625
0.106 0.892 0.875
0.394 0.392 0.625
0.394 0.392 0.875
0.894 0.108 0.125
0.894 0.108 0.375
0.606 0.608 0.125
0.881 0.816 0.029
0.619 0.316 0.471
0.827 0.829 0.750
0.173 0.171 0.250
0.673 0.329 0.750
0.119 0.184 0.971
0.119 0.184 0.529
0.881 0.816 0.471
0.381 0.684 0.529
0.619 0.316 0.029
0.381 0.684 0.971
0.327 0.671 0.250
0.617 0.036 0.610
0.166 0.165 0.750
0.883 0.536 0.610
0.117 0.464 0.110
0.834 0.835 0.250
0.666 0.335 0.250
0.334 0.665 0.750
0.383 0.964 0.390
0.883 0.536 0.890
0.117 0.464 0.390
0.383 0.964 0.110
0.617 0.036 0.890

---

> Which value of size of the total moment does entry 1 give?

0.00 μB per cell